1.
Material: CoHgP3
Method: DFT, PBE
State: optimized geometry

Cell lengths 4.455, 4.455, 4.455 Å; angles 90.00, 90.00, 90.00 degrees
Sites, in units of the cell vectors:
1 Hg 0.500 0.500 0.500
2 P 0.000 0.000 0.500
3 P 0.500 0.000 0.000
4 P 0.000 0.500 0.000
5 Co 0.000 0.000 0.000

Its density is 6.6 g/cm³. Its formation enthalpy at 0 K is 0.57 eV per atom. As for the offset from the most stable computed form: 0.0 meV/atom.

=====

2.
Material: Co2HgP
Method: DFT, PBE
State: optimized geometry

Cell lengths 4.092, 2.944, 5.175 Å; angles 73.80, 90.00, 90.00 degrees
Sites, in units of the cell vectors:
1 Co 0.000 0.825 0.978
2 P 0.500 0.883 0.856
3 Co 0.500 0.227 0.176
4 Hg 0.000 0.566 0.491

Its density is 9.7 g/cm³. Its formation enthalpy at 0 K is 0.19 eV per atom. As for the offset from the most stable computed form: 292.2 meV/atom.

=====

3.
Material: Co2HgP
Method: DFT, PBE
State: optimized geometry

Cell lengths 4.617, 4.617, 4.617 Å; angles 137.95, 116.55, 79.07 degrees
Sites, in units of the cell vectors:
1 Hg 0.250 0.750 0.500
2 Co 0.938 0.938 0.000
3 Co 0.562 0.562 0.000
4 P 0.750 0.250 0.500

Its density is 10.1 g/cm³. Its formation enthalpy at 0 K is 0.17 eV per atom. As for the offset from the most stable computed form: 273.0 meV/atom.

=====

4.
Material: CoHgP
Method: DFT, PBE
State: optimized geometry

Cell lengths 3.095, 3.095, 6.086 Å; angles 90.00, 90.00, 120.00 degrees
Sites, in units of the cell vectors:
1 P 0.333 0.667 0.748
2 Co 0.000 0.000 0.949
3 Hg 0.667 0.333 0.304

Its density is 9.6 g/cm³. Its formation enthalpy at 0 K is 0.02 eV per atom. As for the offset from the most stable computed form: 121.7 meV/atom.

=====

5.
Material: CoHg2P
Method: DFT, PBE
State: optimized geometry

Cell lengths 8.921, 8.921, 8.921 Å; angles 20.50, 20.50, 20.50 degrees
Sites, in units of the cell vectors:
1 Hg 0.245 0.245 0.245
2 Co 0.764 0.764 0.764
3 P 0.475 0.475 0.475
4 Hg 0.017 0.017 0.017

Its density is 10.7 g/cm³. Its formation enthalpy at 0 K is 0.03 eV per atom.

=====

6.
Material: Co2HgP
Method: DFT, PBE
State: optimized geometry

Cell lengths 4.257, 4.255, 3.041 Å; angles 90.00, 90.00, 90.00 degrees
Sites, in units of the cell vectors:
1 P 0.000 0.500 0.500
2 Co 0.000 0.000 0.000
3 Co 0.500 0.500 0.000
4 Hg 0.500 0.000 0.500

Its density is 10.5 g/cm³. Its formation enthalpy at 0 K is 0.42 eV per atom. As for the offset from the most stable computed form: 528.6 meV/atom.

=====

7.
Material: Co2HgP
Method: DFT, PBE
State: optimized geometry

Cell lengths 2.801, 3.274, 6.446 Å; angles 90.00, 90.00, 90.00 degrees
Sites, in units of the cell vectors:
1 Hg 0.000 0.000 0.472
2 Co 0.000 0.000 0.972
3 Co 0.500 0.500 0.200
4 P 0.500 0.500 0.856

Its density is 9.8 g/cm³. Its formation enthalpy at 0 K is 0.15 eV per atom. As for the offset from the most stable computed form: 254.3 meV/atom.

=====

8.
Material: Co2HgP
Method: DFT, PBE
State: optimized geometry

Cell lengths 6.821, 6.821, 6.821 Å; angles 153.40, 156.07, 36.08 degrees
Sites, in units of the cell vectors:
1 Hg 0.554 0.554 0.000
2 Co 0.910 0.910 0.000
3 P 0.798 0.298 0.500
4 Co 0.239 0.739 0.500

Its density is 10.1 g/cm³. Its formation enthalpy at 0 K is -0.04 eV per atom. As for the offset from the most stable computed form: 68.6 meV/atom.

=====

9.
Material: Co2HgP
Method: DFT, PBE
State: optimized geometry

Cell lengths 4.895, 4.895, 4.895 Å; angles 135.70, 135.70, 64.45 degrees
Sites, in units of the cell vectors:
1 P 0.750 0.250 0.500
2 Co 0.000 0.000 0.000
3 Hg 0.500 0.500 0.000
4 Co 0.250 0.750 0.500

Its density is 10.3 g/cm³. Its formation enthalpy at 0 K is 0.51 eV per atom. As for the offset from the most stable computed form: 620.7 meV/atom.

=====

10.
Material: CoHgP
Method: DFT, PBE
State: optimized geometry

Cell lengths 6.479, 6.479, 2.823 Å; angles 77.42, 77.42, 25.16 degrees
Sites, in units of the cell vectors:
1 P 0.620 0.620 0.380
2 Hg 0.352 0.352 0.648
3 Co 0.028 0.028 0.972

Its density is 9.8 g/cm³. Its formation enthalpy at 0 K is 0.07 eV per atom. As for the offset from the most stable computed form: 171.9 meV/atom.

=====

11.
Material: CoHgP
Method: DFT, PBE
State: optimized geometry

Cell lengths 3.102, 3.102, 5.978 Å; angles 90.00, 90.00, 120.00 degrees
Sites, in units of the cell vectors:
1 Hg 0.333 0.667 0.731
2 P 0.333 0.667 0.167
3 Co 0.667 0.333 0.367

Its density is 9.7 g/cm³. Its formation enthalpy at 0 K is -0.07 eV per atom. As for the offset from the most stable computed form: 29.7 meV/atom.

=====

12.
Material: Co2HgP
Method: DFT, PBE
State: optimized geometry

Cell lengths 4.257, 4.257, 4.257 Å; angles 60.00, 60.00, 60.00 degrees
Sites, in units of the cell vectors:
1 Hg 0.500 0.500 0.500
2 P 0.000 0.000 0.000
3 Co 0.750 0.750 0.750
4 Co 0.250 0.250 0.250

Its density is 10.6 g/cm³. Its formation enthalpy at 0 K is 0.41 eV per atom. As for the offset from the most stable computed form: 519.4 meV/atom.

=====

13.
Material: CoHg2P
Method: DFT, PBE
State: optimized geometry

Cell lengths 4.647, 4.647, 3.623 Å; angles 90.00, 90.00, 109.81 degrees
Sites, in units of the cell vectors:
1 P 0.500 0.000 0.500
2 Hg 0.500 0.500 0.000
3 Hg 0.000 0.000 0.000
4 Co 0.000 0.500 0.500

Its density is 11.1 g/cm³. Its formation enthalpy at 0 K is 0.66 eV per atom.

=====

14.
Material: Co2HgP
Method: DFT, PBE
State: optimized geometry

Cell lengths 6.498, 6.498, 5.367 Å; angles 52.75, 52.75, 90.00 degrees
Sites, in units of the cell vectors:
1 Co 0.552 0.125 0.250
2 Hg 0.000 0.000 0.000
3 P 0.250 0.750 0.500
4 Co 0.375 0.448 0.750
5 Co 0.198 0.625 0.250
6 Hg 0.750 0.250 0.500
7 Co 0.875 0.802 0.750
8 P 0.500 0.500 0.000

Its density is 9.9 g/cm³. Its formation enthalpy at 0 K is 0.17 eV per atom. As for the offset from the most stable computed form: 275.5 meV/atom.

=====

15.
Material: Co4HgP
Method: DFT, PBE
State: optimized geometry

Cell lengths 4.860, 4.860, 4.860 Å; angles 60.00, 60.00, 60.00 degrees
Sites, in units of the cell vectors:
1 Hg 0.750 0.750 0.750
2 Co 0.374 0.877 0.374
3 Co 0.374 0.374 0.374
4 Co 0.374 0.374 0.877
5 Co 0.877 0.374 0.374
6 P 0.000 0.000 0.000

Its density is 9.6 g/cm³. Its formation enthalpy at 0 K is 0.46 eV per atom.

=====

16.
Material: CoHg2P
Method: DFT, PBE
State: optimized geometry

Cell lengths 5.190, 5.190, 4.027 Å; angles 68.63, 68.63, 45.73 degrees
Sites, in units of the cell vectors:
1 Hg 0.001 0.001 0.000
2 Co 0.250 0.250 0.250
3 P 0.750 0.750 0.750
4 Hg 0.499 0.499 0.500

Its density is 11.4 g/cm³. Its formation enthalpy at 0 K is 0.66 eV per atom.

=====

17.
Material: CoHg2P
Method: DFT, PBE
State: optimized geometry

Cell lengths 2.913, 2.844, 9.488 Å; angles 72.57, 90.00, 90.00 degrees
Sites, in units of the cell vectors:
1 Hg 0.500 0.856 0.269
2 Co 0.500 0.919 0.704
3 P 0.000 0.538 0.585
4 Hg 0.000 0.187 0.941

Its density is 10.9 g/cm³. Its formation enthalpy at 0 K is 0.06 eV per atom.

=====

18.
Material: Co2HgP
Method: DFT, PBE
State: optimized geometry

Cell lengths 3.437, 3.437, 6.101 Å; angles 73.64, 73.64, 60.03 degrees
Sites, in units of the cell vectors:
1 P 0.332 0.332 0.003
2 Co 0.949 0.949 0.153
3 Hg 0.502 0.502 0.495
4 Co 0.717 0.717 0.849

Its density is 9.8 g/cm³. Its formation enthalpy at 0 K is -0.10 eV per atom. As for the offset from the most stable computed form: 3.1 meV/atom.

=====

19.
Material: CoHg2P
Method: DFT, PBE
State: optimized geometry

Cell lengths 2.928, 2.928, 8.507 Å; angles 90.00, 90.00, 90.39 degrees
Sites, in units of the cell vectors:
1 Hg 0.000 0.000 0.971
2 Co 0.500 0.500 0.750
3 Hg 0.000 0.000 0.529
4 P 0.500 0.500 0.250

Its density is 11.2 g/cm³. Its formation enthalpy at 0 K is 0.64 eV per atom.

=====

20.
Material: CoHg2P
Method: DFT, PBE
State: optimized geometry

Cell lengths 7.580, 7.580, 5.999 Å; angles 50.82, 50.82, 90.00 degrees
Sites, in units of the cell vectors:
1 Hg 0.375 0.378 0.750
2 Hg 0.128 0.625 0.250
3 P 0.500 0.500 0.000
4 Co 0.750 0.250 0.500
5 P 0.250 0.750 0.500
6 Hg 0.875 0.872 0.750
7 Hg 0.622 0.125 0.250
8 Co 0.000 0.000 0.000

Its density is 10.5 g/cm³. Its formation enthalpy at 0 K is 0.70 eV per atom.

=====

21.
Material: Co2Hg2P
Method: DFT, PBE
State: optimized geometry

Cell lengths 5.832, 5.832, 4.617 Å; angles 90.00, 90.00, 90.00 degrees
Sites, in units of the cell vectors:
1 Hg 0.669 0.831 0.500
2 Hg 0.169 0.669 0.500
3 Co 0.163 0.337 0.000
4 Co 0.837 0.663 0.000
5 P 0.500 0.500 0.000
6 P 0.000 0.000 0.000
7 Hg 0.831 0.331 0.500
8 Hg 0.331 0.169 0.500
9 Co 0.337 0.837 0.000
10 Co 0.663 0.163 0.000

Its density is 11.6 g/cm³. Its formation enthalpy at 0 K is 0.16 eV per atom.

=====

22.
Material: CoHgP
Method: DFT, PBE
State: optimized geometry

Cell lengths 3.007, 5.799, 6.261 Å; angles 72.32, 76.24, 89.96 degrees
Sites, in units of the cell vectors:
1 P 0.714 0.811 0.192
2 Hg 0.462 0.504 0.705
3 Hg 0.719 0.362 0.193
4 Co 0.307 0.060 0.003
5 P 0.471 0.004 0.673
6 Co 0.078 0.918 0.458

Its density is 9.6 g/cm³. Its formation enthalpy at 0 K is -0.04 eV per atom. As for the offset from the most stable computed form: 64.1 meV/atom.

=====

23.
Material: CoHg2P
Method: DFT, PBE
State: optimized geometry

Cell lengths 5.154, 5.154, 5.154 Å; angles 133.41, 133.41, 68.02 degrees
Sites, in units of the cell vectors:
1 Hg 0.000 0.000 0.000
2 P 0.500 0.500 0.000
3 Co 0.750 0.250 0.500
4 Hg 0.250 0.750 0.500

Its density is 11.5 g/cm³. Its formation enthalpy at 0 K is 0.64 eV per atom.

=====

24.
Material: CoHg2P
Method: DFT, PBE
State: optimized geometry

Cell lengths 4.690, 4.690, 4.690 Å; angles 60.00, 60.00, 60.00 degrees
Sites, in units of the cell vectors:
1 Hg 0.250 0.250 0.250
2 Hg 0.000 0.000 0.000
3 P 0.750 0.750 0.750
4 Co 0.500 0.500 0.500

Its density is 11.2 g/cm³. Its formation enthalpy at 0 K is 0.71 eV per atom.

=====

25.
Material: Co2HgP
Method: DFT, PBE
State: optimized geometry

Cell lengths 3.448, 3.448, 5.976 Å; angles 73.25, 73.25, 60.03 degrees
Sites, in units of the cell vectors:
1 Co 0.968 0.968 0.094
2 P 0.250 0.250 0.250
3 Hg 0.750 0.750 0.750
4 Co 0.532 0.532 0.406

Its density is 10.0 g/cm³. Its formation enthalpy at 0 K is -0.11 eV per atom. As for the offset from the most stable computed form: 0.0 meV/atom.

=====

26.
Material: CoHg2PPb
Method: DFT, PBE
State: optimized geometry

Cell lengths 5.175, 4.181, 5.175 Å; angles 90.00, 90.00, 90.00 degrees
Sites, in units of the cell vectors:
1 Hg 0.000 0.000 0.500
2 Pb 0.500 0.500 0.500
3 Hg 0.500 0.000 0.000
4 P 0.000 0.500 0.000
5 Co 0.000 0.000 0.000

Its density is 10.4 g/cm³. Its formation enthalpy at 0 K is 0.20 eV per atom.

=====

27.
Material: RbCoHg2P
Method: DFT, PBE
State: optimized geometry

Cell lengths 5.203, 6.622, 5.203 Å; angles 90.00, 90.00, 90.00 degrees
Sites, in units of the cell vectors:
1 P 0.000 0.000 0.000
2 Hg 0.500 0.000 0.000
3 Co 0.500 0.500 0.500
4 Rb 0.000 0.500 0.000
5 Hg 0.000 0.000 0.500

Its density is 5.3 g/cm³. Its formation enthalpy at 0 K is 0.79 eV per atom.

=====

28.
Material: CoHgPS2
Method: DFT, PBE
State: optimized geometry

Cell lengths 4.725, 4.725, 4.137 Å; angles 90.00, 90.00, 90.00 degrees
Sites, in units of the cell vectors:
1 Hg 0.500 0.500 0.500
2 P 0.000 0.000 0.500
3 S 0.500 0.000 0.000
4 Co 0.000 0.000 0.000
5 S 0.000 0.500 0.000

Its density is 6.4 g/cm³. As for the energy relative to the elements, uncorrected: 10.16 kcal/mol of atoms. As for the offset from the most stable computed form: 0.0 meV/atom.

=====

29.
Material: CoHgPS2
Method: DFT, PBE
State: optimized geometry

Cell lengths 5.028, 5.028, 4.905 Å; angles 90.00, 90.00, 90.00 degrees
Sites, in units of the cell vectors:
1 Hg 0.000 0.000 0.000
2 S 0.500 0.000 0.000
3 P 0.000 0.000 0.500
4 Co 0.500 0.500 0.500
5 S 0.000 0.500 0.000

Its density is 4.7 g/cm³. As for the energy relative to the elements, uncorrected: 35.68 kcal/mol of atoms. As for the offset from the most stable computed form: 1106.5 meV/atom.